No. 1
# Eu2DyZr

A relaxed Eu2DyZr crystal (PBE-GGA, the Alexandria database).

a b c (Å): 3.419 3.419 12.595
angles (deg): 82.20 82.20 60.00
Each line ends with the local moment (μB).
Element x y z (fractional)
Eu 0.916 0.916 0.252  7.06
Eu 0.084 0.084 0.748  7.06
Dy 0.500 0.500 0.500  0.10
Zr 0.000 0.000 0.000  0.25

***

No. 2
# LiPSe2

A relaxed LiPSe2 crystal (PBE-GGA, the Alexandria database).

a b c (Å): 3.362 3.533 6.795
angles (deg): 89.74 90.00 90.00
Element x y z (fractional)
Se 0.000 0.752 0.488
Se 0.000 0.748 0.012
P 0.500 0.750 0.750
Li 0.500 0.250 0.250

**Formation energy without anion corrections**: -0.20 eV/atom

***

No. 3
# LiPmYIr

A relaxed LiPmYIr crystal (PBE-GGA, the Alexandria database).

a b c (Å): 4.992 4.992 4.992
angles (deg): 60.00 60.00 60.00
Element x y z (fractional)
Ir 0.000 0.000 0.000
Y 0.750 0.750 0.750
Pm 0.250 0.250 0.250
Li 0.500 0.500 0.500

***

No. 4
# Ac2TlPd

A relaxed Ac2TlPd crystal (PBE-GGA, the Alexandria database).

a b c (Å): 4.354 4.354 9.047
angles (deg): 76.08 76.08 60.00
Element x y z (fractional)
Ac 0.265 0.265 0.204
Ac 0.068 0.068 0.795
Tl 0.500 0.500 0.501
Pd 0.667 0.667 0.999

***

No. 5
# LiCoSi

A relaxed LiCoSi crystal (PBE-GGA, the Alexandria database).

a b c (Å): 4.550 4.551 2.882
angles (deg): 71.53 71.54 36.93
Each line ends with the local moment (μB).
Element x y z (fractional)
Li 0.664 0.664 0.336  0.00
Si 0.347 0.347 0.653  0.01
Co 0.989 0.989 0.011  0.30

**Formation energy without anion corrections**: -0.24 eV/atom

***

No. 6
# NiB4

A relaxed NiB4 crystal (PBE-GGA, the Alexandria database).

a b c (Å): 3.212 3.605 3.739
angles (deg): 82.32 65.48 81.68
Element x y z (fractional)
Ni 0.500 0.500 0.000
B 0.930 0.752 0.424
B 0.515 0.049 0.725
B 0.070 0.248 0.576
B 0.485 0.951 0.275

***

No. 7
# SmTm5Cd6

A relaxed SmTm5Cd6 crystal (PBE-GGA, the Alexandria database).

a b c (Å): 5.240 7.455 8.312
angles (deg): 90.00 71.63 90.00
Element x y z (fractional)
Cd 0.831 0.745 0.338
Cd 0.500 0.255 0.000
Cd 0.500 0.745 0.000
Cd 0.169 0.745 0.662
Cd 0.169 0.255 0.662
Cd 0.831 0.255 0.338
Tm 0.332 0.000 0.337
Tm 0.000 0.500 0.000
Tm 0.335 0.500 0.329
Tm 0.668 0.000 0.663
Tm 0.665 0.500 0.671
Sm 0.000 0.000 0.000

***

No. 8
# In2SiBr

A relaxed In2SiBr crystal (PBE-GGA, the Alexandria database).

a b c (Å): 5.507 5.507 3.346
angles (deg): 90.00 90.00 90.04
Element x y z (fractional)
In 0.500 0.500 0.000
In 0.000 0.000 0.000
Si 0.500 0.000 0.500
Br 0.000 0.500 0.500

**Formation energy without anion corrections**: 0.12 eV/atom
**Offset from the most stable computed form**: 0.65 eV/f.u.

***

No. 9
# Tb8Pm2Pu

A relaxed Tb8Pm2Pu crystal (PBE-GGA, the Alexandria database).

a b c (Å): 5.034 7.964 9.430
angles (deg): 104.64 105.48 90.00
Each line ends with the local moment (μB).
Element x y z (fractional)
Tb 0.411 0.551 0.821  0.01
Tb 0.679 0.908 0.358  -0.01
Tb 0.866 0.823 0.731  0.11
Tb 0.044 0.730 0.088  0.07
Tb 0.134 0.177 0.269  0.11
Tb 0.321 0.092 0.642  -0.01
Tb 0.956 0.270 0.912  0.07
Tb 0.589 0.449 0.179  0.01
Pu 0.500 0.000 0.000  5.61
Pm 0.227 0.636 0.454  -0.02
Pm 0.773 0.364 0.546  -0.02

***

No. 10
# BaAlCoAg2

A relaxed BaAlCoAg2 crystal (PBE-GGA, the Alexandria database).

a b c (Å): 5.056 4.790 5.056
angles (deg): 90.00 90.00 90.00
Each line ends with the local moment (μB).
Element x y z (fractional)
Al 0.000 0.000 0.000  0.00
Ag 0.000 0.000 0.500  0.02
Ag 0.500 0.000 0.000  0.02
Ba 0.500 0.500 0.500  -0.03
Co 0.000 0.500 0.000  1.65

***

No. 11
# TlReRh2

A relaxed TlReRh2 crystal (PBE-GGA, the Alexandria database).

a b c (Å): 4.842 4.842 2.865
angles (deg): 90.00 90.00 106.80
Element x y z (fractional)
Re 0.500 0.500 0.500
Rh 0.000 0.500 0.000
Rh 0.500 0.000 0.000
Tl 0.000 0.000 0.500

**Offset from the most stable computed form**: 1.11 eV/f.u.

***

No. 12
# Pm2DyAu

A relaxed Pm2DyAu crystal (PBE-GGA, the Alexandria database).

a b c (Å): 3.561 3.561 11.710
angles (deg): 81.25 81.25 60.00
Element x y z (fractional)
Pm 0.917 0.917 0.249
Pm 0.083 0.083 0.751
Au 0.000 0.000 0.000
Dy 0.500 0.500 0.500

**Offset from the most stable computed form**: 2.20 eV/f.u.

***

| no. | electronic total energy (eV/atom) | calculated volume (Å³ per atom) |
| --- | --- | --- |
| 1 | -8.013 | 31.477 |
| 2 | -3.772 | 20.174 |
| 3 | -5.990 | 21.985 |
| 4 | -4.418 | 35.674 |
| 5 | -5.058 | 11.267 |
| 6 | -6.417 | 7.768 |
| 7 | -3.024 | 25.676 |
| 8 | -3.027 | 25.370 |
| 9 | -5.487 | 31.958 |
| 10 | -3.503 | 24.490 |
| 11 | -7.022 | 16.078 |
| 12 | -4.203 | 31.654 |